Entry from the Alexandria database: Ag3P after structural relaxation (PBE).

abc: 5.441 5.441 5.441
angles: 117.12 117.12 117.12
Element x y z (fractional)
Ag1 0.000 0.500 0.500
Ag2 0.500 0.000 0.500
Ag3 0.500 0.500 0.000
P1 0.000 0.000 0.000

Output
Space group   R-3m (166)
E_tot   -12.9 eV/cell


Entry from the Alexandria database: CoOsAu2 after structural relaxation (PBE).

abc: 2.746 2.746 9.617
angles: 90.00 90.00 119.04
Element x y z (fractional)
Co1 0.000 0.000 0.000
Os1 0.500 0.500 0.790
Au1 0.000 0.000 0.522
Au2 0.500 0.500 0.243

Output
Space group   Cmm2 (35)
E above lowest polymorph   147 meV/atom
E_tot   -23.2 eV/cell


Entry from the Alexandria database: CeNpGa after structural relaxation (PBE).

abc: 7.589 7.589 5.169
angles: 90.52 90.52 26.94
Element x y z (fractional)
Ce1 0.084 0.084 0.334
Ce2 0.916 0.916 0.666
Np1 0.245 0.245 0.842
Np2 0.755 0.755 0.158
Ga1 0.420 0.420 0.162
Ga2 0.580 0.580 0.838

Output
Space group   C2/m (12)
E_tot   -44.8 eV/cell


Entry from the Alexandria database: TbCeThPb after structural relaxation (PBE).

abc: 5.511 5.511 5.511
angles: 60.00 60.00 60.00
Element x y z (fractional)
Tb1 0.000 0.000 0.000
Ce1 0.750 0.750 0.750
Th1 0.500 0.500 0.500
Pb1 0.250 0.250 0.250

Output
Space group   F-43m (216)
E_tot   -21.7 eV/cell


Entry from the Alexandria database: Pd8Au after structural relaxation (PBE).

abc: 7.119 7.119 7.119
angles: 92.43 92.43 156.26
Element x y z (fractional)
Pd1 0.000 0.334 0.334
Pd2 0.000 0.666 0.666
Pd3 0.332 0.332 0.663
Pd4 0.332 0.668 0.000
Pd5 0.334 0.000 0.334
Pd6 0.666 0.000 0.666
Pd7 0.668 0.332 0.000
Pd8 0.668 0.668 0.337
Au1 0.000 0.000 0.000

Output
Space group   I4/mmm (139)
E above lowest polymorph   43 meV/atom
E_tot   -44.5 eV/cell